## one
Compound: PmPuPdAu
Source: Alexandria via LeMat-Bulk
Functional: PBE-GGA
Structure: optimized geometry

Calculated values
total moment	11.52	μB per cell
V	24.61	A^3/atom

Unit cell a=4.605 b=3.881 c=11.018 alpha=90.00 beta=90.00 gamma=90.00
Element x y z (fractional)
Pm  0.000  0.000  0.000
Pm  0.000  0.500  0.500
Pu  0.500  0.000  0.279
Pu  0.500  0.500  0.779
Pd  0.000  0.000  0.728
Pd  0.000  0.500  0.228
Au  0.500  0.000  0.559
Au  0.500  0.500  0.059

## two
Compound: PmPuPdAu
Source: Alexandria via LeMat-Bulk
Functional: PBE-GGA
Structure: optimized geometry

Calculated values
total moment	23.35	μB per cell
V	23.71	A^3/atom

Unit cell a=7.239 b=7.239 c=7.239 alpha=90.00 beta=90.00 gamma=90.00
Element x y z (fractional)
Pm  0.000  0.000  0.000
Pm  0.000  0.500  0.500
Pm  0.500  0.000  0.500
Pm  0.500  0.500  0.000
Pu  0.000  0.000  0.500
Pu  0.000  0.500  0.000
Pu  0.500  0.000  0.000
Pu  0.500  0.500  0.500
Pd  0.250  0.250  0.250
Pd  0.250  0.750  0.750
Pd  0.750  0.250  0.750
Pd  0.750  0.750  0.250
Au  0.250  0.250  0.750
Au  0.250  0.750  0.250
Au  0.750  0.250  0.250
Au  0.750  0.750  0.750

It comes down to one, which is 0.047 eV/atom more stable than the next structure.

## one
Compound: PmScPdAu
Source: Alexandria via LeMat-Bulk
Functional: PBE-GGA
Structure: optimized geometry

Calculated values
total moment	0.00	μB per cell
V	22.48	A^3/atom

Unit cell a=4.694 b=3.673 c=10.431 alpha=90.00 beta=90.00 gamma=90.00
Element x y z (fractional)
Pm  0.000  0.000  0.000
Pm  0.000  0.500  0.500
Sc  0.500  0.000  0.721
Sc  0.500  0.500  0.221
Pd  0.000  0.000  0.270
Pd  0.000  0.500  0.770
Au  0.500  0.000  0.439
Au  0.500  0.500  0.939

## two
Compound: PmScPdAu
Source: Alexandria via LeMat-Bulk
Functional: PBE-GGA
Structure: optimized geometry

Calculated values
total moment	0.00	μB per cell
V	21.76	A^3/atom

Unit cell a=7.035 b=7.035 c=7.035 alpha=90.00 beta=90.00 gamma=90.00
Element x y z (fractional)
Pm  0.000  0.000  0.000
Pm  0.000  0.500  0.500
Pm  0.500  0.000  0.500
Pm  0.500  0.500  0.000
Sc  0.000  0.000  0.500
Sc  0.000  0.500  0.000
Sc  0.500  0.000  0.000
Sc  0.500  0.500  0.500
Pd  0.250  0.250  0.250
Pd  0.250  0.750  0.750
Pd  0.750  0.250  0.750
Pd  0.750  0.750  0.250
Au  0.250  0.250  0.750
Au  0.250  0.750  0.250
Au  0.750  0.250  0.250
Au  0.750  0.750  0.750

It comes down to one, which is 0.032 eV/atom more stable than the next structure.